Entry from the Alexandria database: a relaxed NdSb2Pb crystal (PBE-GGA).

Results
M_tot   0.00 μB per formula unit
Space group   No. 123
DOS(E_F)   1.9 states/eV/cell
Crystal system   tetragonal
Formation energy (no corrections)   -0.49 eV per atom
Offset from the most stable computed form   17 meV per atom

a b c (Å): 5.2059 5.2059 4.2992
angles (deg): 90.00 90.00 90.00
Closest atoms and distances in Å follow each position.
Fractional coordinates of all 4 atoms:
Nd: 0.0000 0.0000 0.0000  8 Sb 3.38, 4 Pb 3.68
Sb: 0.0000 0.5000 0.5000  4 Pb 3.38, 4 Nd 3.38, 4 Sb 3.68
Sb: 0.5000 0.0000 0.5000  4 Pb 3.38, 4 Nd 3.38, 4 Sb 3.68
Pb: 0.5000 0.5000 0.0000  8 Sb 3.38, 4 Nd 3.68